Entry 1:
The following is a DFT calculation (PBE) of a relaxed structure of Tb5TlSb4.

Geometry as POSCAR:
```
Tb5TlSb4
1.0
-1.073 1.288 -5.983
1.472 -5.802 -4.739
-7.105 -1.592 -2.295
Tb Tl Sb
5 1 4
direct
0.897 0.412 0.795
0.310 0.795 0.588
0.692 0.205 0.412
0.105 0.588 0.205
0.501 0.000 0.000
0.001 0.000 0.000
0.400 0.400 0.802
0.800 0.802 0.600
0.202 0.198 0.400
0.602 0.600 0.198
```

Calculated values
density of states at the Fermi level	5.44	states/eV per cell
SG	I4/m (87)
uncorrected formation energy	-0.918	eV per atom

Entry 2:
The following is a DFT calculation (PBE) of a relaxed structure of Tb5TlSb4.

Geometry as POSCAR:
```
Tb5TlSb4
1.0
4.363 0.000 -0.615
-0.087 4.362 -0.615
0.014 0.014 15.886
Tb Tl Sb
5 1 4
direct
0.103 0.103 0.206
0.500 0.500 0.000
0.897 0.897 0.794
0.300 0.300 0.600
0.700 0.700 0.400
0.000 0.000 0.000
0.401 0.401 0.801
0.799 0.799 0.599
0.201 0.201 0.401
0.599 0.599 0.199
```

Calculated values
density of states at the Fermi level	5.50	states/eV per cell
SG	I4/mmm (139)
uncorrected formation energy	-0.923	eV per atom

Entry 3:
The following is a DFT calculation (PBE) of a relaxed structure of Tb3TlSb2.

Geometry as POSCAR:
```
Tb3TlSb2
1.0
6.217 0.000 0.000
0.000 8.614 0.005
-3.109 -2.154 6.797
Tb Tl Sb
6 2 4
direct
0.500 0.250 0.000
0.500 0.750 0.000
0.177 0.088 0.353
0.824 0.412 0.647
0.176 0.588 0.353
0.823 0.912 0.647
0.000 0.750 0.000
0.000 0.250 0.000
0.664 0.582 0.328
0.664 0.082 0.328
0.336 0.918 0.672
0.336 0.418 0.672
```

Calculated values
density of states at the Fermi level	7.29	states/eV per cell
SG	Immm (71)
uncorrected formation energy	-0.778	eV per atom

Entry 4:
The following is a DFT calculation (PBE) of a relaxed structure of Tb4TlSb2.

Geometry as POSCAR:
```
Tb4TlSb2
1.0
6.041 0.000 -0.008
0.000 6.680 0.000
-2.235 0.000 10.059
Tb Tl Sb
8 2 4
direct
0.535 0.509 0.256
0.018 0.750 0.844
0.982 0.250 0.156
0.535 0.991 0.256
0.856 0.250 0.537
0.465 0.009 0.744
0.465 0.491 0.744
0.144 0.750 0.463
0.051 0.750 0.168
0.949 0.250 0.832
0.579 0.750 0.997
0.421 0.250 0.003
0.309 0.250 0.457
0.691 0.750 0.543
```

Calculated values
density of states at the Fermi level	11.14	states/eV per cell
SG	P2_1/m (11)
uncorrected formation energy	-0.558	eV per atom

Entry 5:
The following is a DFT calculation (PBE) of a relaxed structure of TbTm4Sb2.

Geometry as POSCAR:
```
TbTm4Sb2
1.0
5.219 0.000 0.000
0.000 5.219 0.000
-2.609 -2.609 8.128
Tb Tm Sb
1 4 2
direct
0.000 0.000 0.000
0.816 0.816 0.633
0.184 0.184 0.367
0.000 0.500 0.000
0.500 0.000 0.000
0.633 0.633 0.266
0.367 0.367 0.734
```

Calculated values
density of states at the Fermi level	5.52	states/eV per cell
SG	I4/mmm (139)
uncorrected formation energy	0.328	eV per atom

Entry 6:
The following is a DFT calculation (PBE) of a relaxed structure of TbTm2Sb2.

Geometry as POSCAR:
```
TbTm2Sb2
1.0
-1.009 0.124 4.203
-3.967 -4.768 -0.812
8.330 -6.928 -0.021
Tb Tm Sb
2 4 4
direct
0.614 0.023 0.229
0.386 0.523 0.771
0.000 0.273 0.000
0.188 0.523 0.376
0.812 0.023 0.624
0.000 0.773 0.000
0.580 0.523 0.159
0.212 0.024 0.424
0.788 0.524 0.576
0.420 0.023 0.841
```

Calculated values
density of states at the Fermi level	6.25	states/eV per cell
SG	Cmcm (63)
uncorrected formation energy	-0.816	eV per atom

Computed values of total energy (unit: eV/f.u.) for the preceding records, in sequence: -51.19; -51.24; -29.17; -33.04; -28.47; -25.90.